No. 1
The following is a GGA-PBE calculation of BeAgCl2 after structural relaxation, from the Alexandria database.

Calculated values
**E_form (uncorrected)**: -369.0 meV/atom
**V**: 23.6 A^3/atom
**Offset from the most stable computed form**: 273 meV/atom

Lattice parameters (Å, degrees): 3.1048 3.1048 9.8042 90.00 90.00 90.00
With the nearest neighbours (Å) after each atom.
Space group P4mm (No. 99)
Symmetry-distinct sites (fractional):
Be 0.0000 0.0000 0.0000 [1 per cell]  1 Cl 1.82
Ag 0.5000 0.5000 0.5028 [1 per cell]  4 Ag 3.10
Cl 0.0000 0.0000 0.1856 [1 per cell]  1 Be 1.82
Cl 0.5000 0.5000 0.9098 [1 per cell]  4 Be 2.37

=====

No. 2
The following is a GGA-PBE calculation of Th2ZrSi3Ir4 after structural relaxation, from the Alexandria database.

Calculated values
**E_form (uncorrected)**: -1022.8 meV/atom
**V**: 18.6 A^3/atom

Lattice parameters (Å, degrees): 4.1383 4.1383 10.8498 90.00 90.00 90.00
With the nearest neighbours (Å) after each atom.
Space group P-4m2 (No. 115)
Symmetry-distinct sites (fractional):
Th 0.0000 0.5000 0.2339 [2 per cell]  4 Si 3.16, 8 Ir 3.17-3.27
Zr 0.0000 0.0000 0.5000 [1 per cell]  4 Ir 2.65, 4 Si 2.93
Si 0.0000 0.5000 0.8772 [2 per cell]  5 Ir 2.43-2.46
Si 0.5000 0.5000 0.5000 [1 per cell]  4 Ir 2.65, 4 Zr 2.93
Ir 0.0000 0.0000 0.0000 [1 per cell]  4 Si 2.46
Ir 0.0000 0.5000 0.6533 [2 per cell]  3 Si 2.43-2.65, 2 Zr 2.65
Ir 0.5000 0.5000 0.0000 [1 per cell]  4 Si 2.46

=====

No. 3
The following is a GGA-PBE calculation of WSe2BrN after structural relaxation, from the Alexandria database.

Calculated values
**E_form (uncorrected)**: 327.4 meV/atom
**V**: 20.0 A^3/atom
**Offset from the most stable computed form**: 0 meV/atom

Lattice parameters (Å, degrees): 5.0892 5.0892 3.8615 90.00 90.00 90.00
With the nearest neighbours (Å) after each atom.
Space group P4/mmm (No. 123)
Symmetry-distinct sites (fractional):
W 0.0000 0.0000 0.0000 [1 per cell]  2 N 1.93
Se 0.0000 0.5000 0.0000 [2 per cell]  2 W 2.54
Br 0.5000 0.5000 0.5000 [1 per cell]  8 Se 3.19
N 0.0000 0.0000 0.5000 [1 per cell]  2 W 1.93

=====

No. 4
The following is a GGA-PBE calculation of PrZrAg after structural relaxation, from the Alexandria database.

Calculated values
**Energy of formation from the pure elements**: -16.7 meV/atom
**V**: 25.5 A^3/atom
**Offset from the most stable computed form**: 24 meV/atom

Lattice parameters (Å, degrees): 3.4744 3.4744 12.6718 90.00 90.00 90.00
With the nearest neighbours (Å) after each atom.
Space group I4mm (No. 107)
Symmetry-distinct sites (fractional):
Pr 0.0000 0.0000 0.0000 [2 per cell]  4 Ag 3.38, 4 Zr 3.40, 4 Pr 3.47
Zr 0.0000 0.0000 0.3143 [2 per cell]  4 Ag 2.97
Ag 0.0000 0.0000 0.6830 [2 per cell]  4 Zr 2.97

=====

No. 5
The following is a GGA-PBE calculation of TbTh2SbN5 after structural relaxation, from the Alexandria database.

Calculated values
**E_form (uncorrected)**: -972.9 meV/atom
**V**: 16.9 A^3/atom

Lattice parameters (Å, degrees): 3.6853 14.2293 11.5820 90.00 90.00 90.00
With the nearest neighbours (Å) after each atom.
Space group Cmc2_1 (No. 36)
Symmetry-distinct sites (fractional):
Tb 0.0000 0.2344 0.0000 [4 per cell]  6 N 2.34-2.55
Th 0.0000 0.1339 0.2555 [4 per cell]  6 N 2.38-2.57
Th 0.0000 0.1381 0.7256 [4 per cell]  3 N 2.23-2.41
Sb 0.0000 0.4954 0.5012 [4 per cell]  4 N 2.06-2.10
N 0.0000 0.0634 0.0513 [4 per cell]  2 Sb 2.10
N 0.0000 0.2814 0.3527 [4 per cell]  3 Th 2.38-2.62, 2 Tb 2.52
N 0.0000 0.2827 0.6510 [4 per cell]  1 Th 2.23
N 0.0000 0.3801 0.0940 [4 per cell]  1 Sb 2.07
N 0.0000 0.4564 0.8332 [4 per cell]  1 Sb 2.06

=====

No. 6
The following is a GGA-PBE calculation of Sr2LaBi after structural relaxation, from the Alexandria database.

Calculated values
**Energy of formation from the pure elements**: 63.9 meV/atom
**V**: 43.2 A^3/atom

Lattice parameters (Å, degrees): 3.8822 3.8822 39.6723 90.00 90.00 120.00
With the nearest neighbours (Å) after each atom.
Space group R-3m (No. 166, hexagonal axes)
Symmetry-distinct sites (fractional):
Sr 0.0000 0.0000 0.0843 [6 per cell]  1 Bi 3.34
La 0.0000 0.0000 0.5000 [3 per cell]  6 La 3.88, 6 Sr 3.96
Bi 0.0000 0.0000 0.0000 [3 per cell]  2 Sr 3.34

=====

No. 7
The following is a GGA-PBE calculation of CaPrBi2 after structural relaxation, from the Alexandria database.

Calculated values
**Energy of formation from the pure elements**: -715.4 meV/atom
**V**: 31.9 A^3/atom
**Offset from the most stable computed form**: 51 meV/atom

Lattice parameters (Å, degrees): 4.1931 4.1931 7.2552 90.00 90.00 90.00
With the nearest neighbours (Å) after each atom.
Space group P4/mmm (No. 123)
Symmetry-distinct sites (fractional):
Ca 0.0000 0.0000 0.0000 [1 per cell]  8 Bi 3.49, 2 Pr 3.63
Pr 0.0000 0.0000 0.5000 [1 per cell]  8 Bi 3.46, 2 Ca 3.63
Bi 0.5000 0.5000 0.2531 [2 per cell]  4 Pr 3.46, 4 Ca 3.49, 2 Bi 3.58-3.67

=====

No. 8
The following is a GGA-PBE calculation of AlZn2Re after structural relaxation, from the Alexandria database.

Calculated values
**Energy of formation from the pure elements**: 71.1 meV/atom
**V**: 14.3 A^3/atom

Lattice parameters (Å, degrees): 3.4255 3.9967 4.1753 90.00 90.00 90.00
With the nearest neighbours (Å) after each atom.
Space group Pmmm (No. 47)
Symmetry-distinct sites (fractional):
Al 0.0000 0.0000 0.0000 [1 per cell]  4 Re 2.63, 8 Zn 2.70-2.89
Zn 0.0000 0.5000 0.5000 [1 per cell]  4 Zn 2.63, 4 Re 2.70, 4 Al 2.89
Zn 0.5000 0.0000 0.5000 [1 per cell]  4 Zn 2.63, 4 Al 2.70, 4 Re 2.89
Re 0.5000 0.5000 0.0000 [1 per cell]  4 Al 2.63, 8 Zn 2.70-2.89

=====

Which of these has the lowest V? AlZn2Re

=====

Which formula does entry 3 have? WSe2BrN

=====

The lowest V belongs to which entry? AlZn2Re

=====

Number 3 is which compound? WSe2BrN